1.
# La6Pm3Ho

An optimized crystal structure of La6Pm3Ho (PBE, Alexandria via LeMat-Bulk).

The crystal system is orthorhombic.

The space group is Cmc2_1 (No. 36) and the conventional cell measures 10.9305, 19.5988 and 6.6419 Å, with angles of 90.00, 90.00 and 90.00 degrees. Symmetry generates all atoms from La at (0.0000, 0.0311, 0.0000), La at (0.0000, 0.2827, 0.8051), La at (0.1735, 0.4602, 0.6997), La at (0.2213, 0.2923, 0.5111), Pm at (0.0000, 0.3844, 0.2248), Pm at (0.1748, 0.1189, 0.6078) and Ho at (0.0000, 0.1879, 0.2488).

=====

2.
# LaPm2Ho12

An optimized crystal structure of LaPm2Ho12 (PBE, Alexandria via LeMat-Bulk).

The crystal system is monoclinic.

The space group is C2/m (No. 12) and the conventional cell measures 7.0961, 11.2037 and 24.4489 Å, with angles of 90.00, 94.19 and 90.00 degrees. Symmetry generates all atoms from La at (0.2446, 0.0000, 0.9999), Pm at (0.0680, 0.0000, 0.2739), Pm at (0.0680, 0.5000, 0.2738), Ho at (0.0182, 0.2512, 0.0761), Ho at (0.1120, 0.2503, 0.4455), Ho at (0.1422, 0.0000, 0.5716), Ho at (0.1426, 0.5000, 0.5713), Ho at (0.1676, 0.2501, 0.6680), Ho at (0.2001, 0.2501, 0.7979), Ho at (0.2152, 0.0000, 0.8618) and Ho at (0.2166, 0.5000, 0.8619).

=====

Number 1: calculated formation energy 116 meV/atom. Number 2: calculated formation energy 108 meV/atom.